1.
Compound: MnCr2Hg
Source: Alexandria
Functional: PBE
Structure: optimized geometry

Geometry as CIF:
```
data_MnCr2Hg
_cell_length_a 3.692
_cell_length_b 3.692
_cell_length_c 18.432
_cell_angle_alpha 90.00
_cell_angle_beta 90.00
_cell_angle_gamma 90.00
_space_group_name_H-M_alt 'I -4 2 d'
_space_group_IT_number 122
_space_group_name_Hall 'I -4 2bw'
loop_
_atom_site_label
_atom_site_fract_x
_atom_site_fract_y
_atom_site_fract_z
_atom_site_occupancy
Mn1 0.000 0.000 0.000 1
Cr1 0.180 0.250 0.125 1
Hg1 0.000 0.000 0.500 1
```

Energy (eV/atom): -6.234

2.
Compound: MnCr3Hg
Source: Alexandria
Functional: PBE
Structure: optimized geometry

Geometry as CIF:
```
data_MnCr3Hg
_cell_length_a 5.101
_cell_length_b 5.101
_cell_length_c 5.101
_cell_angle_alpha 90.00
_cell_angle_beta 90.00
_cell_angle_gamma 90.00
_space_group_name_H-M_alt 'P m -3 m'
_space_group_IT_number 221
_space_group_name_Hall '-P 4 2 3'
loop_
_atom_site_label
_atom_site_fract_x
_atom_site_fract_y
_atom_site_fract_z
_atom_site_occupancy
Mn1 0.000 0.000 0.000 1
Cr1 0.000 0.500 0.500 1
Hg1 0.500 0.500 0.500 1
```

Energy relative to the lowest polymorph listed for this composition (meV/atom): 684
Energy (eV/atom): -5.881

3.
Compound: MnCrHg2
Source: Alexandria
Functional: PBE
Structure: optimized geometry

Geometry as CIF:
```
data_MnCrHg2
_cell_length_a 4.079
_cell_length_b 4.079
_cell_length_c 9.162
_cell_angle_alpha 90.00
_cell_angle_beta 90.00
_cell_angle_gamma 90.00
_space_group_name_H-M_alt 'I -4 m 2'
_space_group_IT_number 119
_space_group_name_Hall 'I -4 -2'
loop_
_atom_site_label
_atom_site_fract_x
_atom_site_fract_y
_atom_site_fract_z
_atom_site_occupancy
Mn1 0.000 0.000 0.000 1
Cr1 0.000 0.500 0.750 1
Hg1 0.000 0.000 0.500 1
Hg2 0.000 0.500 0.250 1
```

Energy relative to the lowest polymorph listed for this composition (meV/atom): 230
Energy (eV/atom): -4.333

4.
Compound: Mn2CrHg
Source: Alexandria
Functional: PBE
Structure: optimized geometry

Geometry as CIF:
```
data_Mn2CrHg
_cell_length_a 2.992
_cell_length_b 2.992
_cell_length_c 6.728
_cell_angle_alpha 90.00
_cell_angle_beta 90.00
_cell_angle_gamma 90.00
_space_group_name_H-M_alt 'P 4/m m m'
_space_group_IT_number 123
_space_group_name_Hall '-P 4 2'
loop_
_atom_site_label
_atom_site_fract_x
_atom_site_fract_y
_atom_site_fract_z
_atom_site_occupancy
Mn1 0.000 0.000 0.208 1
Cr1 0.500 0.500 0.000 1
Hg1 0.500 0.500 0.500 1
```

Energy (eV/atom): -6.812

5.
Compound: MnCr2Hg
Source: Alexandria
Functional: PBE
Structure: optimized geometry

Geometry as CIF:
```
data_MnCr2Hg
_cell_length_a 6.336
_cell_length_b 6.336
_cell_length_c 6.336
_cell_angle_alpha 90.00
_cell_angle_beta 90.00
_cell_angle_gamma 90.00
_space_group_name_H-M_alt 'F -4 3 m'
_space_group_IT_number 216
_space_group_name_Hall 'F -4 2 3'
loop_
_atom_site_label
_atom_site_fract_x
_atom_site_fract_y
_atom_site_fract_z
_atom_site_occupancy
Mn1 0.000 0.000 0.000 1
Cr1 0.000 0.000 0.500 1
Cr2 0.250 0.250 0.250 1
Hg1 0.250 0.250 0.750 1
```

Energy (eV/atom): -6.743

6.
Compound: MnCrHg
Source: Alexandria
Functional: PBE
Structure: optimized geometry

Geometry as CIF:
```
data_MnCrHg
_cell_length_a 4.4241
_cell_length_b 4.4241
_cell_length_c 2.9027
_cell_angle_alpha 90.00
_cell_angle_beta 90.00
_cell_angle_gamma 120.00
_space_group_name_H-M_alt 'P 3 m 1'
_space_group_IT_number 156
loop_
_space_group_symop_operation_xyz
'x,y,z'
'-y,x-y,z'
'-x+y,-x,z'
'-y,-x,z'
'-x+y,y,z'
'x,x-y,z'
loop_
_atom_site_label
_atom_site_fract_x
_atom_site_fract_y
_atom_site_fract_z
_atom_site_occupancy
Mn1 0.0000 0.0000 0.0000 1
Cr1 0.6667 0.3333 0.1382 1
Hg1 0.3333 0.6667 0.5816 1
```

Energy relative to the lowest polymorph listed for this composition (meV/atom): 187
Energy (eV/atom): -5.923

7.
Compound: MnCr2Hg2
Source: Alexandria
Functional: PBE
Structure: optimized geometry

Geometry as CIF:
```
data_MnCr2Hg2
_cell_length_a 7.791
_cell_length_b 7.791
_cell_length_c 3.185
_cell_angle_alpha 90.00
_cell_angle_beta 90.00
_cell_angle_gamma 90.00
_space_group_name_H-M_alt 'P 4/m b m'
_space_group_IT_number 127
_space_group_name_Hall '-P 4 2ab'
loop_
_atom_site_label
_atom_site_fract_x
_atom_site_fract_y
_atom_site_fract_z
_atom_site_occupancy
Mn1 0.000 0.000 0.000 1
Cr1 0.133 0.367 0.000 1
Hg1 0.166 0.666 0.500 1
```

Energy relative to the lowest polymorph listed for this composition (meV/atom): 0
Energy (eV/atom): -5.095

8.
Compound: MnCr2Hg
Source: Alexandria
Functional: PBE
Structure: optimized geometry

Geometry as CIF:
```
data_MnCr2Hg
_cell_length_a 4.146
_cell_length_b 4.148
_cell_length_c 7.316
_cell_angle_alpha 90.00
_cell_angle_beta 90.00
_cell_angle_gamma 90.00
_space_group_name_H-M_alt 'I m m 2'
_space_group_IT_number 44
loop_
_space_group_symop_operation_xyz
'x,y,z'
'-x,-y,z'
'-x,y,z'
'x,-y,z'
'x+1/2,y+1/2,z+1/2'
'-x+1/2,-y+1/2,z+1/2'
'-x+1/2,y+1/2,z+1/2'
'x+1/2,-y+1/2,z+1/2'
loop_
_atom_site_label
_atom_site_fract_x
_atom_site_fract_y
_atom_site_fract_z
_atom_site_occupancy
Mn1 0.000 0.000 0.000 1
Cr1 0.000 0.000 0.500 1
Cr2 0.000 0.500 0.748 1
Hg1 0.000 0.500 0.250 1
```

Energy (eV/atom): -6.752

9.
Compound: Mn2CrHg
Source: Alexandria
Functional: PBE
Structure: optimized geometry

Geometry as CIF:
```
data_Mn2CrHg
_cell_length_a 2.9405
_cell_length_b 2.9405
_cell_length_c 25.0432
_cell_angle_alpha 90.00
_cell_angle_beta 90.00
_cell_angle_gamma 120.00
_space_group_name_H-M_alt 'R -3 m'
_space_group_IT_number 166
_space_group_name_Hall '-R 3 2"'
loop_
_atom_site_label
_atom_site_fract_x
_atom_site_fract_y
_atom_site_fract_z
_atom_site_occupancy
Mn1 0.0000 0.0000 0.2385 1
Cr1 0.0000 0.0000 0.5000 1
Hg1 0.0000 0.0000 0.0000 1
```

Energy (eV/atom): -6.666

10.
Compound: MnCrHg2
Source: Alexandria
Functional: PBE
Structure: optimized geometry

Geometry as CIF:
```
data_MnCrHg2
_cell_length_a 3.0606
_cell_length_b 3.0606
_cell_length_c 27.4733
_cell_angle_alpha 90.00
_cell_angle_beta 90.00
_cell_angle_gamma 120.00
_space_group_name_H-M_alt 'R 3 m'
_space_group_IT_number 160
_space_group_name_Hall 'R 3 -2"'
loop_
_atom_site_label
_atom_site_fract_x
_atom_site_fract_y
_atom_site_fract_z
_atom_site_occupancy
Mn1 0.0000 0.0000 0.0000 1
Cr1 0.0000 0.0000 0.7245 1
Hg1 0.0000 0.0000 0.2487 1
Hg2 0.0000 0.0000 0.4781 1
```

Energy relative to the lowest polymorph listed for this composition (meV/atom): 95
Energy (eV/atom): -4.468

11.
Compound: Mn4CrHg
Source: Alexandria
Functional: PBE
Structure: optimized geometry

Geometry as CIF:
```
data_Mn4CrHg
_cell_length_a 6.823
_cell_length_b 6.823
_cell_length_c 6.823
_cell_angle_alpha 90.00
_cell_angle_beta 90.00
_cell_angle_gamma 90.00
_space_group_name_H-M_alt 'F -4 3 m'
_space_group_IT_number 216
_space_group_name_Hall 'F -4 2 3'
loop_
_atom_site_label
_atom_site_fract_x
_atom_site_fract_y
_atom_site_fract_z
_atom_site_occupancy
Mn1 0.124 0.124 0.376 1
Cr1 0.000 0.000 0.000 1
Hg1 0.250 0.250 0.750 1
```

Energy (eV/atom): -7.427

12.
Compound: MnCrHg2
Source: Alexandria
Functional: PBE
Structure: optimized geometry

Geometry as CIF:
```
data_MnCrHg2
_cell_length_a 3.228
_cell_length_b 3.228
_cell_length_c 7.081
_cell_angle_alpha 90.00
_cell_angle_beta 90.00
_cell_angle_gamma 90.00
_space_group_name_H-M_alt 'P 4/m m m'
_space_group_IT_number 123
_space_group_name_Hall '-P 4 2'
loop_
_atom_site_label
_atom_site_fract_x
_atom_site_fract_y
_atom_site_fract_z
_atom_site_occupancy
Mn1 0.000 0.000 0.000 1
Cr1 0.000 0.000 0.500 1
Hg1 0.500 0.500 0.248 1
```

Energy relative to the lowest polymorph listed for this composition (meV/atom): 141
Energy (eV/atom): -4.422